DFT (GGA-PBE) results for a relaxed structure of ErSi3NiRu.

abc: 7.171 7.171 5.482
angles: 90.00 90.00 130.06
Fractional positions:
1 Er 0.208 0.792 0.750
2 Er 0.792 0.208 0.250
3 Si 0.198 0.198 0.000
4 Si 0.198 0.198 0.500
5 Si 0.276 0.724 0.250
6 Si 0.724 0.276 0.750
7 Si 0.802 0.802 0.000
8 Si 0.802 0.802 0.500
9 Ni 0.111 0.889 0.250
10 Ni 0.889 0.111 0.750
11 Ru 0.447 0.553 0.250
12 Ru 0.553 0.447 0.750

Summary:
energy relative to the elements, uncorrected: -9.20 kcal/mol of atoms
calculated density: 6.3 g/cm³
magnetic moment: 0.00 Bohr magnetons per cell
space group: Cmcm